Entry 1:
KLiPd: relaxed, PBE.

Output
SG: F-43m
Energy, eV per atom: -2.26

Cell lengths 4.963, 4.963, 4.963 Å; angles 60.00, 60.00, 60.00 degrees
Atoms (fractional coordinates):
K1 0.000 0.000 0.000
Pd1 0.750 0.750 0.750
Li1 0.250 0.250 0.250

Entry 2:
Nd2Re2S2O5: relaxed, PBE.

Output
SG: I4/mmm
Energy, eV per atom: -7.95

Cell lengths 11.322, 11.322, 11.322 Å; angles 159.65, 159.65, 28.94 degrees
Atoms (fractional coordinates):
O1 0.403 0.903 0.500
O2 0.000 0.000 0.000
O3 0.597 0.097 0.500
O4 0.903 0.403 0.500
O5 0.097 0.597 0.500
S1 0.201 0.201 0.000
S2 0.799 0.799 0.000
Nd1 0.664 0.664 0.000
Nd2 0.336 0.336 0.000
Re1 0.917 0.917 0.000
Re2 0.083 0.083 0.000

Entry 3:
ZnPdNO: relaxed, PBE.

Output
SG: Pca2_1
Energy, eV per atom: -4.98

Cell lengths 5.186, 5.530, 6.900 Å; angles 90.00, 90.00, 90.00 degrees
Atoms (fractional coordinates):
Pd1 0.988 0.060 0.075
Pd2 0.488 0.940 0.925
Pd3 0.988 0.560 0.925
Pd4 0.488 0.440 0.075
Zn1 0.483 0.424 0.612
Zn2 0.483 0.924 0.388
Zn3 0.983 0.576 0.388
Zn4 0.983 0.076 0.612
O1 0.604 0.088 0.623
O2 0.104 0.912 0.377
O3 0.604 0.588 0.377
O4 0.104 0.412 0.623
N1 0.127 0.393 0.161
N2 0.127 0.893 0.839
N3 0.627 0.107 0.161
N4 0.627 0.607 0.839

Entry 4:
ScGa2Cu: relaxed, PBE.

Output
SG: F-43m
Energy, eV per atom: -4.30

Cell lengths 4.502, 4.502, 4.502 Å; angles 60.00, 60.00, 60.00 degrees
Atoms (fractional coordinates):
Cu1 0.750 0.750 0.750
Sc1 0.000 0.000 0.000
Ga1 0.250 0.250 0.250
Ga2 0.500 0.500 0.500

Entry 5:
TlCu: relaxed, PBE.

Output
SG: P6/mmm
Energy, eV per atom: -2.84

Cell lengths 5.489, 5.489, 4.694 Å; angles 90.00, 90.00, 120.00 degrees
Atoms (fractional coordinates):
Cu1 0.500 0.000 0.000
Cu2 0.500 0.500 0.000
Cu3 0.000 0.500 0.000
Tl1 0.333 0.667 0.500
Tl2 0.000 0.000 0.000
Tl3 0.667 0.333 0.500

Entry 6:
RbPmSe2: relaxed, PBE.

Output
SG: R-3m
Energy, eV per atom: -4.91

Cell lengths 8.389, 8.389, 8.389 Å; angles 29.99, 29.99, 29.99 degrees
Atoms (fractional coordinates):
Se1 0.267 0.267 0.267
Se2 0.733 0.733 0.733
Rb1 0.500 0.500 0.500
Pm1 0.000 0.000 0.000

Entry 7:
KTa3N5: relaxed, PBE.

Output
SG: P6/mmm
Energy, eV per atom: -8.64

Cell lengths 5.331, 5.331, 6.242 Å; angles 90.00, 90.00, 120.00 degrees
Atoms (fractional coordinates):
Ta1 0.500 0.000 0.500
Ta2 0.500 0.500 0.500
Ta3 0.000 0.500 0.500
N1 0.333 0.667 0.281
N2 0.667 0.333 0.719
N3 0.000 0.000 0.500
N4 0.667 0.333 0.281
N5 0.333 0.667 0.719
K1 0.000 0.000 0.000

Entry 8:
CdNiPbS3: relaxed, PBE.

Output
SG: Cmcm
Energy, eV per atom: -4.06

Cell lengths 3.844, 6.726, 10.349 Å; angles 90.00, 90.00, 73.39 degrees
Last column: magnetic moment on the atom in μB.
Atoms (fractional coordinates):
Ni1 0.476 0.047 0.750  1.13
Ni2 0.524 0.953 0.250  1.13
Pb1 0.243 0.514 0.250  0.01
Pb2 0.757 0.486 0.750  0.01
Cd1 0.000 0.000 0.500  0.01
Cd2 0.000 0.000 0.000  0.01
S1 0.636 0.729 0.422  0.15
S2 0.636 0.729 0.078  0.15
S3 0.364 0.271 0.922  0.15
S4 0.364 0.271 0.578  0.15
S5 0.071 0.859 0.750  0.19
S6 0.929 0.141 0.250  0.19

no.,calculated density (g cm⁻³)
1,2.9
2,7.6
3,6.8
4,6.4
5,10.9
6,4.9
7,7.0
8,6.1